1.
## Sr3ScCl (PBE-GGA)

Data for Sr3ScCl after structural relaxation.

a b c (Å): 6.4638 6.4638 6.4638
angles (deg): 90.00 90.00 90.00
Closest atoms and distances in Å follow each position.
Positions (direct):
Sc (0.0000, 0.0000, 0.0000)  6 Sr 3.23
Sr (0.5000, 0.0000, 0.0000)  2 Sc 3.23
Sr (0.0000, 0.5000, 0.0000)  2 Sc 3.23
Sr (0.0000, 0.0000, 0.5000)  2 Sc 3.23
Cl (0.5000, 0.5000, 0.5000)  12 Sr 4.57

Output
ΔE_f (raw): 0.294 eV/atom
Crystal system: cubic
Energy above the lowest structure with this stoichiometry: 645 meV/atom
Magnetic moment: 0.7329 μB/atom
Space group: Pm-3m (221)

---

2.
## SrScCl4 (PBE-GGA)

Data for SrScCl4 after structural relaxation.

a b c (Å): 6.0391 6.0391 6.0391
angles (deg): 60.00 60.00 60.00
Closest atoms and distances in Å follow each position.
Positions (direct):
Sr (0.0000, 0.0000, 0.0000)  12 Cl 3.54, 4 Sc 3.70
Cl (0.3753, 0.3753, 0.8741)  6 Cl 3.01-3.03
Cl (0.3753, 0.8741, 0.3753)  6 Cl 3.01-3.03
Sc (0.7500, 0.7500, 0.7500)  12 Cl 3.54, 4 Sr 3.70
Cl (0.3753, 0.3753, 0.3753)  6 Cl 3.01-3.03
Cl (0.8741, 0.3753, 0.3753)  6 Cl 3.01-3.03

Output
ΔE_f (raw): -0.506 eV/atom
Crystal system: cubic
Magnetic moment: 0.1710 μB/atom
Space group: F-43m (216)

---

3.
## Sr3ScCl (PBE-GGA)

Data for Sr3ScCl after structural relaxation.

a b c (Å): 5.8665 5.8665 5.8665
angles (deg): 90.00 90.00 90.00
Closest atoms and distances in Å follow each position.
Positions (direct):
Sc (0.5000, 0.5000, 0.5000)  12 Sr 4.15
Sr (0.5000, 0.0000, 0.0000)  2 Cl 2.93
Sr (0.0000, 0.5000, 0.0000)  2 Cl 2.93
Cl (0.0000, 0.0000, 0.0000)  6 Sr 2.93
Sr (0.0000, 0.0000, 0.5000)  2 Cl 2.93

Output
ΔE_f (raw): -0.351 eV/atom
Crystal system: cubic
Energy above the lowest structure with this stoichiometry: 0 meV/atom
Magnetic moment: 0.4547 μB/atom
Space group: Pm-3m (221)

---

4.
## SrScTe2Cl (PBE-GGA)

Data for SrScTe2Cl after structural relaxation.

a b c (Å): 5.7388 5.7388 4.8775
angles (deg): 90.00 90.00 90.00
Closest atoms and distances in Å follow each position.
Positions (direct):
Te (0.0000, 0.5000, 0.0000)  2 Sc 2.87
Cl (0.0000, 0.0000, 0.5000)  2 Sc 2.44
Sc (0.0000, 0.0000, 0.0000)  2 Cl 2.44
Te (0.5000, 0.0000, 0.0000)  2 Sc 2.87
Sr (0.5000, 0.5000, 0.5000)  8 Te 3.77, 4 Cl 4.06

Output
ΔE_f (raw): -1.497 eV/atom
Crystal system: tetragonal
Magnetic moment: 0.0000 μB/atom
Space group: P4/mmm (123)

---

5.
## SrSc2TiCl (PBE-GGA)

Data for SrSc2TiCl after structural relaxation.

a b c (Å): 4.8820 5.4617 4.8820
angles (deg): 90.00 90.00 90.00
Closest atoms and distances in Å follow each position.
Positions (direct):
Ti (0.5000, 0.5000, 0.5000)  4 Sr 3.45, 8 Sc 3.66
Cl (0.0000, 0.0000, 0.0000)  4 Sc 2.44, 2 Sr 2.73
Sr (0.0000, 0.5000, 0.0000)  2 Cl 2.73
Sc (0.5000, 0.0000, 0.0000)  2 Cl 2.44
Sc (0.0000, 0.0000, 0.5000)  2 Cl 2.44

Output
ΔE_f (raw): 0.035 eV/atom
Crystal system: tetragonal
Magnetic moment: 0.0002 μB/atom
Space group: P4/mmm (123)

---

6.
## SrScTlCl6 (PBE-GGA)

Data for SrScTlCl6 after structural relaxation.

a b c (Å): 7.1970 7.1970 13.3942
angles (deg): 90.00 90.00 120.00
Closest atoms and distances in Å follow each position.
Positions (direct):
Cl (0.3492, 0.9591, 0.6410)  1 Sc 2.52
Tl (0.0000, 0.0000, 0.0000)  6 Cl 3.27
Cl (0.0409, 0.3901, 0.6410)  1 Sc 2.52
Cl (0.3492, 0.3901, 0.8590)  1 Sc 2.52
Cl (0.6508, 0.0409, 0.3590)  1 Sc 2.52
Sc (0.3333, 0.6667, 0.7500)  6 Cl 2.52
Cl (0.9591, 0.6099, 0.3590)  1 Sc 2.52
Cl (0.6508, 0.6099, 0.1410)  1 Sc 2.52
Cl (0.6099, 0.6508, 0.6410)  1 Sc 2.52
Cl (0.3901, 0.3492, 0.3590)  1 Sc 2.52
Sc (0.6667, 0.3333, 0.2500)  6 Cl 2.52
Cl (0.9591, 0.3492, 0.1410)  1 Sc 2.52
Cl (0.3901, 0.0409, 0.1410)  1 Sc 2.52
Cl (0.6099, 0.9591, 0.8590)  1 Sc 2.52
Sr (0.3333, 0.6667, 0.2500)  6 Cl 2.91
Tl (0.0000, 0.0000, 0.5000)  6 Cl 3.27
Sr (0.6667, 0.3333, 0.7500)  6 Cl 2.91
Cl (0.0409, 0.6508, 0.8590)  1 Sc 2.52

Output
ΔE_f (raw): -2.007 eV/atom
Crystal system: trigonal
Magnetic moment: 0.0000 μB/atom
Space group: P-31c (163)

---

> What is the magnetic moment in the fifth record?

0.0002 μB/atom